MgCu2O4 | the Alexandria database | SCAN | single point on PBEsol structure; V = 156 Å³ per cell; polymorph energy (0 for the lowest one) = 48 meV per atom; raw formation energy = -1.298 eV per atom; crystal system = tetragonal
1.0
-0.998 5.295 0.481
-3.019 -0.161 -4.486
-2.309 -3.649 4.947
O Cu Mg
8 4 2
Cartesian
-2.422 -0.769 3.438
-2.906 1.882 3.668
-1.858 3.820 1.113
-3.353 3.743 -1.140
-4.069 -0.857 0.989
-4.554 1.794 1.220
-2.808 0.853 -1.402
-1.313 0.930 0.850
-4.498 -2.216 -0.155
-1.834 -0.311 -0.385
-4.997 0.432 0.086
-3.344 -0.391 -2.628
-2.009 2.567 -2.002
-2.658 2.107 1.713